Entry from the Alexandria database: Th2UTcC4 after structural relaxation (GGA-PBE).

Cell: 6.237 6.237 12.508 Å, 90.00 90.00 147.19°
Sites, in units of the cell vectors:
Th 0.136 0.864 0.543
Th 0.136 0.864 0.957
Th 0.864 0.136 0.043
Th 0.864 0.136 0.457
U 0.392 0.608 0.750
U 0.608 0.392 0.250
Tc 0.346 0.654 0.250
Tc 0.654 0.346 0.750
C 0.060 0.940 0.750
C 0.219 0.781 0.145
C 0.219 0.781 0.355
C 0.500 0.500 0.000
C 0.500 0.500 0.500
C 0.781 0.219 0.645
C 0.781 0.219 0.855
C 0.940 0.060 0.250

- Energy of formation from the pure elements: 10.02 kJ/mol of atoms
- Total energy: -9.070 eV/atom